The following is a PBE+U calculation of a relaxed LiZrVO4 crystal, from the Alexandria database.

## Properties
E_tot = -7.9640 eV/atom
M_tot = 4.00 μB/cell

abc: 6.0885 6.2271 6.2271
angles: 62.27 60.73 60.73
Each line ends with the local moment (μB).
Fractional positions:
Li  0.6247  0.6253  0.1253  0.00
Li  0.3753  0.3747  0.8747  0.00
Zr  0.0000  0.0000  0.0000  0.01
Zr  0.0000  0.5000  0.5000  0.01
V  0.5000  0.0000  0.5000  1.88
V  0.0000  0.0000  0.5000  1.88
O  0.7584  0.7745  0.7087  0.00
O  0.2416  0.7913  0.7255  0.00
O  0.7584  0.2087  0.2745  0.00
O  0.2416  0.2255  0.2913  0.00
O  0.2193  0.7596  0.2596  0.00
O  0.7616  0.7596  0.2596  0.00
O  0.2384  0.2404  0.7404  0.00
O  0.7807  0.2404  0.7404  0.00